A relaxed structure of Pm15HoEr4, computed with GGA-PBE.

a = 5.1281 Å, b = 5.1281 Å, c = 25.5744 Å
α = 90.00°, β = 90.00°, γ = 90.00°
Positions (direct):
Pm (0.5000, 0.5000, 0.2001)
Pm (0.0000, 0.5000, 0.3000)
Pm (0.5000, 0.0000, 0.7000)
Pm (0.5000, 0.0000, 0.8995)
Pm (0.0000, 0.5000, 0.1005)
Pm (0.5000, 0.0000, 0.3000)
Er (0.0000, 0.0000, 0.7999)
Pm (0.5000, 0.5000, 0.7999)
Pm (0.0000, 0.5000, 0.8995)
Pm (0.5000, 0.5000, 0.4001)
Pm (0.5000, 0.5000, 0.0000)
Pm (0.5000, 0.0000, 0.5000)
Pm (0.0000, 0.5000, 0.7000)
Er (0.0000, 0.0000, 0.4001)
Ho (0.0000, 0.0000, 0.0000)
Pm (0.0000, 0.5000, 0.5000)
Pm (0.5000, 0.0000, 0.1005)
Er (0.0000, 0.0000, 0.2001)
Pm (0.5000, 0.5000, 0.5999)
Er (0.0000, 0.0000, 0.5999)

- total moment (μB per formula unit) = 0.0
- ΔE_f (eV/atom) = 0.01

***

A relaxed structure of Pm7Ho6Er16, computed with GGA-PBE.

a = 10.9821 Å, b = 10.9821 Å, c = 10.9821 Å
α = 60.00°, β = 60.00°, γ = 60.00°
Positions (direct):
Er (0.6134, 0.6134, 0.6134)
Er (0.1493, 0.1493, 0.5520)
Ho (0.2246, 0.7754, 0.7754)
Er (0.3866, 0.3866, 0.3866)
Pm (0.5000, 0.0000, 0.0000)
Pm (0.5000, 0.5000, 0.0000)
Er (0.1493, 0.1493, 0.1493)
Er (0.3866, 0.3866, 0.8401)
Er (0.8507, 0.4480, 0.8507)
Er (0.8401, 0.3866, 0.3866)
Er (0.6134, 0.1599, 0.6134)
Er (0.3866, 0.8401, 0.3866)
Ho (0.7754, 0.2246, 0.7754)
Er (0.8507, 0.8507, 0.8507)
Pm (0.0000, 0.0000, 0.5000)
Pm (0.0000, 0.5000, 0.5000)
Er (0.5520, 0.1493, 0.1493)
Pm (0.0000, 0.5000, 0.0000)
Er (0.1493, 0.5520, 0.1493)
Ho (0.7754, 0.7754, 0.2246)
Ho (0.2246, 0.2246, 0.7754)
Pm (0.5000, 0.0000, 0.5000)
Er (0.6134, 0.6134, 0.1599)
Ho (0.2246, 0.7754, 0.2246)
Er (0.8507, 0.8507, 0.4480)
Er (0.1599, 0.6134, 0.6134)
Pm (0.0000, 0.0000, 0.0000)
Er (0.4480, 0.8507, 0.8507)
Ho (0.7754, 0.2246, 0.2246)

- total moment (μB per formula unit) = 0.0
- ΔE_f (eV/atom) = 0.19

***

A relaxed structure of PmHo4Er6, computed with GGA-PBE.

a = 5.6211 Å, b = 5.5663 Å, c = 25.5130 Å
α = 90.00°, β = 90.00°, γ = 120.33°
Positions (direct):
Er (0.5098, 0.0197, 0.7500)
Er (0.8444, 0.6888, 0.6808)
Er (0.1556, 0.3112, 0.3192)
Ho (0.5132, 0.0265, 0.8788)
Ho (0.1627, 0.3254, 0.0416)
Er (0.5000, 0.0000, 0.0000)
Er (0.4902, 0.9803, 0.2500)
Er (0.1774, 0.3548, 0.6022)
Pm (0.8241, 0.6482, 0.2500)
Ho (0.5132, 0.0265, 0.6212)
Ho (0.4868, 0.9735, 0.3788)
Er (0.8226, 0.6452, 0.3978)
Ho (0.8373, 0.6746, 0.5416)
Er (0.1556, 0.3112, 0.1808)
Er (0.1774, 0.3548, 0.8978)
Ho (0.4868, 0.9735, 0.1212)
Pm (0.1759, 0.3518, 0.7500)
Ho (0.1627, 0.3254, 0.4584)
Ho (0.8373, 0.6746, 0.9584)
Er (0.5000, 0.0000, 0.5000)
Er (0.8226, 0.6452, 0.1022)
Er (0.8444, 0.6888, 0.8192)

- total moment (μB per formula unit) = 0.0
- ΔE_f (eV/atom) = 0.12
- energy relative to the lowest polymorph listed for this composition (meV/atom) = 0.0

***

A relaxed structure of PmHo4Er7, computed with GGA-PBE.

a = 5.8077 Å, b = 11.4563 Å, c = 6.6634 Å
α = 83.15°, β = 64.16°, γ = 75.32°
Positions (direct):
Er (0.2112, 0.0771, 0.5006)
Ho (0.2488, 0.3168, 0.1855)
Pm (0.0000, 0.0000, 0.0000)
Er (0.0595, 0.6718, 0.2092)
Er (0.6350, 0.4970, 0.2331)
Er (0.7888, 0.9229, 0.4994)
Er (0.5000, 0.0000, 0.0000)
Ho (0.6327, 0.2255, 0.5091)
Ho (0.3673, 0.7745, 0.4909)
Er (0.9405, 0.3282, 0.7908)
Ho (0.7512, 0.6832, 0.8145)
Er (0.3650, 0.5030, 0.7669)

- total moment (μB per formula unit) = 0.0
- ΔE_f (eV/atom) = 0.28
- energy relative to the lowest polymorph listed for this composition (meV/atom) = 201.4

***

A relaxed structure of Pm6HoEr5, computed with GGA-PBE.

a = 5.0866 Å, b = 10.0312 Å, c = 9.4689 Å
α = 121.99°, β = 105.59°, γ = 89.98°
Positions (direct):
Er (0.0000, 0.5000, 0.0000)
Pm (0.8334, 0.5832, 0.6667)
Er (0.3333, 0.8333, 0.6665)
Pm (0.1666, 0.4168, 0.3333)
Er (0.6667, 0.6667, 0.3334)
Pm (0.8333, 0.0835, 0.6667)
Ho (0.0000, 0.0000, 0.0000)
Er (0.6667, 0.1667, 0.3335)
Pm (0.5000, 0.2502, 0.0000)
Pm (0.1667, 0.9165, 0.3333)
Pm (0.5000, 0.7498, 0.0000)
Er (0.3333, 0.3333, 0.6666)

- total moment (μB per formula unit) = 0.0
- ΔE_f (eV/atom) = 0.02

***

A relaxed structure of Pm2Ho4Er7, computed with GGA-PBE.

a = 6.0334 Å, b = 6.0334 Å, c = 13.1946 Å
α = 90.00°, β = 90.00°, γ = 120.00°
Positions (direct):
Er (0.6460, 0.6460, 0.2164)
Ho (0.6667, 0.3333, 0.5000)
Er (0.0000, 0.0000, 0.0000)
Ho (0.0000, 0.0000, 0.3943)
Er (0.3540, 0.0000, 0.2164)
Er (0.3540, 0.3540, 0.7836)
Pm (0.3333, 0.6667, 0.0000)
Pm (0.6667, 0.3333, 0.0000)
Er (0.0000, 0.6460, 0.7836)
Er (0.6460, 0.0000, 0.7836)
Ho (0.0000, 0.0000, 0.6057)
Er (0.0000, 0.3540, 0.2164)
Ho (0.3333, 0.6667, 0.5000)

- total moment (μB per formula unit) = 0.0
- ΔE_f (eV/atom) = 0.19

***

A relaxed structure of Pm9HoEr2, computed with GGA-PBE.

a = 5.1123 Å, b = 5.1123 Å, c = 15.3344 Å
α = 90.00°, β = 90.00°, γ = 90.00°
Positions (direct):
Pm (0.0000, 0.5000, 0.5000)
Pm (0.5000, 0.0000, 0.5000)
Er (0.0000, 0.0000, 0.6665)
Ho (0.0000, 0.0000, 0.0000)
Pm (0.5000, 0.0000, 0.8330)
Pm (0.5000, 0.5000, 0.6664)
Pm (0.0000, 0.5000, 0.8330)
Pm (0.0000, 0.5000, 0.1670)
Pm (0.5000, 0.0000, 0.1670)
Pm (0.5000, 0.5000, 0.3336)
Pm (0.5000, 0.5000, 0.0000)
Er (0.0000, 0.0000, 0.3335)

- total moment (μB per formula unit) = 0.0
- ΔE_f (eV/atom) = 0.02

***

A relaxed structure of PmHo2Er2, computed with GGA-PBE.

a = 9.3233 Å, b = 9.3233 Å, c = 3.6908 Å
α = 90.00°, β = 90.00°, γ = 90.00°
Positions (direct):
Ho (0.6252, 0.8748, 0.0000)
Ho (0.8748, 0.3748, 0.0000)
Ho (0.1252, 0.6252, 0.0000)
Er (0.8284, 0.6716, 0.5000)
Er (0.6716, 0.1716, 0.5000)
Er (0.3284, 0.8284, 0.5000)
Ho (0.3748, 0.1252, 0.0000)
Pm (0.0000, 0.0000, 0.0000)
Pm (0.5000, 0.5000, 0.0000)
Er (0.1716, 0.3284, 0.5000)

- total moment (μB per formula unit) = 0.0
- ΔE_f (eV/atom) = 0.08
- energy relative to the lowest polymorph listed for this composition (meV/atom) = 0.0

***

A relaxed structure of Pm3Ho2Er4, computed with GGA-PBE.

a = 6.1509 Å, b = 6.1622 Å, c = 12.8128 Å
α = 118.75°, β = 103.84°, γ = 119.92°
Positions (direct):
Pm (0.0000, 0.0000, 0.0000)
Pm (0.5550, 0.1109, 0.6670)
Er (0.8898, 0.7798, 0.6672)
Er (0.6651, 0.3326, 0.9998)
Ho (0.7785, 0.5561, 0.3335)
Er (0.3349, 0.6674, 0.0002)
Pm (0.4450, 0.8891, 0.3330)
Er (0.1102, 0.2202, 0.3328)
Ho (0.2215, 0.4439, 0.6665)

- total moment (μB per formula unit) = 0.0
- ΔE_f (eV/atom) = 0.02
- energy relative to the lowest polymorph listed for this composition (meV/atom) = 0.0

***

A relaxed structure of Pm5HoEr3, computed with GGA-PBE.

a = 9.2404 Å, b = 9.2404 Å, c = 9.6658 Å
α = 118.55°, β = 118.55°, γ = 90.00°
Positions (direct):
Pm (0.1662, 0.0696, 0.7358)
Er (0.6099, 0.1099, 0.0000)
Pm (0.0000, 0.0000, 0.0000)
Er (0.7500, 0.7500, 0.5000)
Pm (0.0696, 0.5696, 0.7358)
Pm (0.5000, 0.5000, 0.0000)
Er (0.2500, 0.2500, 0.5000)
Pm (0.9304, 0.4304, 0.2642)
Ho (0.7500, 0.2500, 0.5000)
Er (0.8901, 0.6099, 0.0000)
Ho (0.2500, 0.7500, 0.5000)
Pm (0.6662, 0.1662, 0.7358)
Pm (0.4304, 0.3338, 0.2642)
Pm (0.3338, 0.8338, 0.2642)
Pm (0.8338, 0.9304, 0.2642)
Er (0.3901, 0.8901, 0.0000)
Pm (0.5696, 0.6662, 0.7358)
Er (0.1099, 0.3901, 0.0000)

- total moment (μB per formula unit) = 0.0
- ΔE_f (eV/atom) = 0.32
- energy relative to the lowest polymorph listed for this composition (meV/atom) = 139.3

***

A relaxed structure of Pm4Ho4Er3, computed with GGA-PBE.

a = 3.5160 Å, b = 5.6351 Å, c = 18.0537 Å
α = 81.03°, β = 84.40°, γ = 89.99°
Positions (direct):
Er (0.8641, 0.3643, 0.2712)
Er (0.0000, 0.0000, 0.0000)
Ho (0.5457, 0.5457, 0.9091)
Ho (0.3195, 0.8197, 0.3605)
Pm (0.4097, 0.9095, 0.1806)
Pm (0.2680, 0.2678, 0.4643)
Pm (0.7320, 0.7322, 0.5357)
Pm (0.5903, 0.0905, 0.8194)
Ho (0.4543, 0.4544, 0.0908)
Er (0.1359, 0.6357, 0.7288)
Ho (0.6806, 0.1803, 0.6395)

- total moment (μB per formula unit) = 0.0
- ΔE_f (eV/atom) = 0.06
- energy relative to the lowest polymorph listed for this composition (meV/atom) = 0.0

***

A relaxed structure of Pm4Ho3Er4, computed with GGA-PBE.

a = 3.5108 Å, b = 5.6335 Å, c = 18.0698 Å
α = 81.04°, β = 84.42°, γ = 89.99°
Positions (direct):
Ho (0.0000, 0.0000, 0.0000)
Er (0.6810, 0.1804, 0.6391)
Er (0.4540, 0.4544, 0.0907)
Pm (0.2680, 0.2677, 0.4645)
Er (0.5460, 0.5456, 0.9094)
Pm (0.4094, 0.9094, 0.1808)
Ho (0.1362, 0.6359, 0.7286)
Pm (0.7321, 0.7323, 0.5354)
Ho (0.8638, 0.3641, 0.2714)
Er (0.3190, 0.8196, 0.3609)
Pm (0.5906, 0.0906, 0.8192)

- total moment (μB per formula unit) = 0.0
- ΔE_f (eV/atom) = 0.07
- energy relative to the lowest polymorph listed for this composition (meV/atom) = 0.0

***

What did the ninth record say?
A relaxed structure of Pm3Ho2Er4, computed with GGA-PBE.

a = 6.1509 Å, b = 6.1622 Å, c = 12.8128 Å
α = 118.75°, β = 103.84°, γ = 119.92°
Positions (direct):
Pm (0.0000, 0.0000, 0.0000)
Pm (0.5550, 0.1109, 0.6670)
Er (0.8898, 0.7798, 0.6672)
Er (0.6651, 0.3326, 0.9998)
Ho (0.7785, 0.5561, 0.3335)
Er (0.3349, 0.6674, 0.0002)
Pm (0.4450, 0.8891, 0.3330)
Er (0.1102, 0.2202, 0.3328)
Ho (0.2215, 0.4439, 0.6665)

- total moment (μB per formula unit) = 0.0
- ΔE_f (eV/atom) = 0.02
- energy relative to the lowest polymorph listed for this composition (meV/atom) = 0.0